Entry 1:
DFT (PBE-GGA) results for crystalline ZrCI2O at its relaxed geometry.

```
ZrCI2O
1.0
5.8421 0.0000 0.0000
0.0000 5.8421 0.0000
0.0000 0.0000 4.0128
Zr C I O
1 1 2 1
direct
0.0000 0.0000 0.0000
0.5000 0.5000 0.5000
0.0000 0.5000 0.0000
0.5000 0.0000 0.0000
0.0000 0.0000 0.5000
```

---

Entry 2:
DFT (PBE-GGA) results for crystalline Zn2HgTe at its relaxed geometry.

```
Zn2HgTe
1.0
4.0400 0.0000 0.0000
0.0000 4.0400 0.0000
0.0000 0.0000 5.7383
Zn Hg Te
2 1 1
direct
0.0000 0.0000 0.0000
0.5000 0.5000 0.5000
0.0000 0.0000 0.5000
0.5000 0.5000 0.0000
```

---

Which electronic total energy belongs to each record? In order, -4.91; -1.49 eV per atom.